Below is a geometry-optimized InCl3 structure, with properties calculated at the GGA-PBEsol level.

```
16
Lattice="-5.070 4.668 -2.406 1.549 -0.776 -4.770 -7.345 -8.495 -1.002" Properties=species:S:1:pos:R:3 pbc="T T T"
Cl -3.330 -0.586 -2.335
Cl -5.001 -6.351 -4.639
Cl -5.865 1.748 -3.539
Cl -7.536 -4.017 -5.843
Cl -0.170 -0.823 -3.972
Cl -8.160 -6.115 -3.005
Cl -4.967 -1.102 -5.481
Cl -8.436 -1.167 -3.897
Cl -10.696 -3.781 -4.205
Cl -2.706 1.512 -5.172
Cl -5.900 -3.501 -2.697
Cl -2.431 -3.437 -4.281
In -5.105 1.372 -5.930
In -8.297 -3.642 -3.451
In -2.570 -0.961 -4.727
In -5.762 -5.976 -2.247
```

Output
Energy relative to the elements, uncorrected ... -4.118 eV per formula unit
Fermi-level density of states ... 0.00 states/eV/f.u.
E_tot ... -3.28 eV per atom

Below is a geometry-optimized InCl2 structure, with properties calculated at the GGA-PBEsol level.

```
6
Lattice="-0.202 -2.254 3.285 -2.045 -3.885 -2.791 8.351 -2.025 -3.298" Properties=species:S:1:pos:R:3 pbc="T T T"
Cl 1.582 -5.270 -1.096
Cl 5.342 -6.706 -1.850
Cl 0.762 -1.458 -0.953
Cl 4.522 -2.894 -1.708
In 3.934 -5.003 -3.190
In 2.170 -3.161 0.387
```

Output
Energy relative to the elements, uncorrected ... -2.477 eV per formula unit
Fermi-level density of states ... 0.93 states/eV/f.u.
E_tot ... -3.16 eV per atom

Below is a geometry-optimized InCl3 structure, with properties calculated at the GGA-PBEsol level.

```
4
Lattice="4.712 0.000 0.000 -1.571 4.846 0.000 1.571 2.423 4.197" Properties=species:S:1:pos:R:3 pbc="T T T"
Cl 0.785 1.211 2.098
Cl -0.785 2.423 0.000
Cl 2.356 3.634 2.098
In 2.356 0.000 0.000
```

Output
Energy relative to the elements, uncorrected ... -0.874 eV per formula unit
Fermi-level density of states ... 5.06 states/eV/f.u.
E_tot ... -2.47 eV per atom

Below is a geometry-optimized InCl structure, with properties calculated at the GGA-PBEsol level.

```
64
Lattice="11.994 0.000 0.000 0.000 11.994 0.000 0.000 0.000 11.994" Properties=species:S:1:pos:R:3 pbc="T T T"
Cl 3.614 11.344 11.983
Cl 2.382 0.650 5.986
Cl 8.379 5.347 6.008
Cl 9.611 6.647 0.011
Cl 11.983 3.614 11.344
Cl 5.986 2.382 0.650
Cl 6.008 8.379 5.347
Cl 0.011 9.611 6.647
Cl 11.344 11.983 3.614
Cl 0.650 5.986 2.382
Cl 5.347 6.008 8.379
Cl 6.647 0.011 9.611
Cl 9.623 0.701 11.889
Cl 8.367 11.292 5.892
Cl 2.370 6.698 6.101
Cl 3.627 5.295 0.104
Cl 11.889 9.623 0.701
Cl 5.892 8.367 11.292
Cl 6.101 2.370 6.698
Cl 0.104 3.627 5.295
Cl 0.701 11.889 9.623
Cl 11.292 5.892 8.367
Cl 6.698 6.101 2.370
Cl 5.295 0.104 3.627
Cl 2.485 2.485 2.485
Cl 3.512 9.509 8.482
Cl 9.509 8.482 3.512
Cl 8.482 3.512 9.509
Cl 9.589 9.589 9.589
Cl 8.401 2.405 3.592
Cl 2.405 3.592 8.401
Cl 3.592 8.401 2.405
In 2.972 2.563 11.604
In 3.025 9.430 5.607
In 9.022 8.560 6.386
In 8.969 3.434 0.389
In 11.604 2.972 2.563
In 5.607 3.025 9.430
In 6.386 9.022 8.560
In 0.389 8.969 3.434
In 2.563 11.604 2.972
In 9.430 5.607 3.025
In 8.560 6.386 9.022
In 3.434 0.389 8.969
In 9.007 9.401 0.404
In 8.983 2.593 6.401
In 2.987 3.404 5.593
In 3.010 8.590 11.590
In 0.404 9.007 9.401
In 6.401 8.983 2.593
In 5.593 2.987 3.404
In 11.590 3.010 8.590
In 9.401 0.404 9.007
In 2.593 6.401 8.983
In 3.404 5.593 2.987
In 8.590 11.590 3.010
In 0.423 0.423 0.423
In 5.574 11.571 6.419
In 11.571 6.419 5.574
In 6.419 5.574 11.571
In 5.566 5.566 5.566
In 0.431 6.428 11.563
In 6.428 11.563 0.431
In 11.563 0.431 6.428
```

Output
Energy relative to the elements, uncorrected ... -1.534 eV per formula unit
Fermi-level density of states ... 0.00 states/eV/f.u.
E_tot ... -3.26 eV per atom

Below is a geometry-optimized InCl2 structure, with properties calculated at the GGA-PBEsol level.

```
24
Lattice="-2.479 6.275 3.372 1.543 -4.087 8.741 9.091 3.559 0.059" Properties=species:S:1:pos:R:3 pbc="T T T"
In 4.414 2.055 3.640
In 3.741 3.693 8.532
In -0.337 0.819 2.446
In -0.599 1.369 9.666
In 5.177 6.778 4.986
In 2.978 -1.031 7.186
In 0.967 4.151 4.501
In 7.188 1.597 7.671
Cl 4.004 4.370 3.307
Cl 4.151 1.377 8.864
Cl 1.926 7.127 4.963
Cl -1.548 5.114 6.156
Cl 6.230 -1.380 7.209
Cl 9.703 0.633 6.016
Cl 7.907 5.245 4.548
Cl 0.248 0.502 7.624
Cl 6.573 1.582 4.517
Cl 1.582 4.165 7.655
Cl 2.673 1.420 5.130
Cl 0.938 2.636 1.591
Cl 5.482 4.327 7.042
Cl 7.218 3.111 10.581
Cl 7.062 3.669 0.993
Cl 1.093 2.079 11.179
```

Output
Energy relative to the elements, uncorrected ... -2.869 eV per formula unit
Fermi-level density of states ... 0.00 states/eV/f.u.
E_tot ... -3.29 eV per atom

Below is a geometry-optimized InCl structure, with properties calculated at the GGA-PBEsol level.

```
4
Lattice="4.153 0.000 0.000 2.077 3.597 0.000 2.077 1.199 7.939" Properties=species:S:1:pos:R:3 pbc="T T T"
In 4.153 2.398 1.071
In 4.153 2.398 6.868
Cl 2.077 1.199 5.455
Cl 6.230 3.597 2.484
```

Output
Energy relative to the elements, uncorrected ... -1.395 eV per formula unit
Fermi-level density of states ... 0.00 states/eV/f.u.
E_tot ... -3.19 eV per atom

Below is a geometry-optimized InCl structure, with properties calculated at the GGA-PBEsol level.

```
4
Lattice="3.833 0.000 0.000 -1.917 3.320 0.000 0.000 0.000 9.067" Properties=species:S:1:pos:R:3 pbc="T T T"
Cl 0.000 2.213 1.549
Cl 1.917 1.107 7.519
In 0.000 2.213 5.865
In 1.917 1.107 3.202
```

Output
Energy relative to the elements, uncorrected ... -1.327 eV per formula unit
E_tot ... -3.16 eV per atom

Below is a geometry-optimized InCl structure, with properties calculated at the GGA-PBEsol level.

```
4
Lattice="4.218 0.000 -0.083 0.000 4.355 0.000 -1.970 0.000 5.951" Properties=species:S:1:pos:R:3 pbc="T T T"
In 2.164 3.266 1.216
In 0.085 1.089 4.652
Cl 2.202 3.266 4.042
Cl 0.047 1.089 1.826
```

Output
Energy relative to the elements, uncorrected ... -1.526 eV per formula unit
E_tot ... -3.26 eV per atom

Below is a geometry-optimized InCl structure, with properties calculated at the GGA-PBEsol level.

```
2
Lattice="4.159 0.000 0.000 0.000 3.981 0.000 0.000 -1.991 3.448" Properties=species:S:1:pos:R:3 pbc="T T T"
In 2.079 0.000 2.299
Cl 0.000 0.000 0.000
```

Output
Energy relative to the elements, uncorrected ... -1.379 eV per formula unit
E_tot ... -3.18 eV per atom

Below is a geometry-optimized InCl7 structure, with properties calculated at the GGA-PBEsol level.

```
8
Lattice="-3.047 1.218 -5.103 -5.921 -1.268 -0.374 -4.066 4.501 -0.104" Properties=species:S:1:pos:R:3 pbc="T T T"
Cl -2.033 2.251 -0.052
Cl -2.960 -0.634 -0.187
Cl -1.523 0.609 -2.551
Cl -4.484 -0.025 -2.738
Cl -3.556 2.860 -2.604
Cl -4.993 1.616 -0.239
Cl -6.516 2.225 -2.791
In 0.000 0.000 0.000
```

Output
Energy relative to the elements, uncorrected ... 2.447 eV per formula unit
Fermi-level density of states ... 11.30 states/eV/f.u.
E_tot ... -1.82 eV per atom

Below is a geometry-optimized InCl5 structure, with properties calculated at the GGA-PBEsol level.

```
6
Lattice="-2.383 -2.579 -0.917 5.161 -5.195 1.202 -2.337 2.520 6.166" Properties=species:S:1:pos:R:3 pbc="T T T"
In -1.099 0.174 2.367
Cl 0.042 -4.727 6.010
Cl -1.606 -0.169 4.649
Cl 1.728 -5.071 2.595
Cl -0.957 -2.240 1.606
Cl -1.187 -3.331 5.276
```

Output
E above lowest polymorph ... 0 meV per atom
Energy relative to the elements, uncorrected ... -3.956 eV per formula unit
Fermi-level density of states ... 0.00 states/eV/f.u.
E_tot ... -2.83 eV per atom

Below is a geometry-optimized InCl3 structure, with properties calculated at the GGA-PBEsol level.

```
24
Lattice="3.651 0.000 0.000 0.000 11.295 0.000 0.000 0.000 15.222" Properties=species:S:1:pos:R:3 pbc="T T T"
Cl 0.885 9.561 2.535
Cl 0.885 9.561 12.686
Cl 0.884 9.561 7.611
Cl 2.766 7.382 0.000
Cl 2.766 7.381 10.146
Cl 2.766 7.381 5.075
Cl 2.703 0.000 0.000
Cl 2.706 0.000 10.148
Cl 2.706 0.000 5.073
Cl 0.885 1.734 2.535
Cl 0.885 1.734 12.686
Cl 0.884 1.734 7.611
Cl 2.766 3.913 0.000
Cl 2.766 3.913 10.146
Cl 2.766 3.913 5.075
Cl 0.947 5.647 7.611
Cl 0.945 5.647 2.537
Cl 0.945 5.647 12.684
In 2.709 0.000 7.611
In 2.710 0.000 2.537
In 2.710 0.000 12.684
In 0.942 5.647 0.000
In 0.940 5.647 10.148
In 0.940 5.647 5.073
```

Output
Energy relative to the elements, uncorrected ... -4.119 eV per formula unit
Fermi-level density of states ... 0.00 states/eV/f.u.
E_tot ... -3.28 eV per atom